Cs2RbAlPb: optimized geometry, GGA-PBE.

Unit cell a=7.7525 b=5.5996 c=7.7525 alpha=90.00 beta=90.00 gamma=90.00
Fractional positions:
Pb (0.0000, 0.0000, 0.0000)
Rb (0.5000, 0.5000, 0.5000)
Cs (0.0000, 0.0000, 0.5000)
Al (0.0000, 0.5000, 0.0000)
Cs (0.5000, 0.0000, 0.0000)

crystal system: tetragonal
ρ: 2.9 Mg/m³
raw total energy: -9.2 eV/cell
space-group type: P4/mmm
E_form: 18.7 kJ per mole of atoms
DOS at the Fermi energy: 4.48 states/eV/f.u.